Entry 1:
! KCa2Pt, relaxed, DFT PBE-GGA; values from VASP
! energy of formation from the pure elements: -432 meV per atom
! offset from the most stable computed form: 20 meV per atom
! DFT total energy: -3.217 eV per atom
&SYSTEM
  ibrav = 0, nat = 4, ntyp = 3
/
ATOMIC_SPECIES
K 39.10 K.upf
Ca 40.08 Ca.upf
Pt 195.08 Pt.upf
CELL_PARAMETERS angstrom
-2.054 0.490 2.978
-0.752 -3.575 0.070
7.682 -5.288 6.169
ATOMIC_POSITIONS angstrom
K 0.706 -1.971 3.049
Ca 4.276 -4.608 3.707
Ca 6.872 -5.111 5.581
Pt 4.171 -6.402 6.168

=====

Entry 2:
! KCaPt2, relaxed, DFT PBE-GGA; values from VASP
! energy of formation from the pure elements: -250 meV per atom
! DFT total energy: -4.045 eV per atom
&SYSTEM
  ibrav = 0, nat = 4, ntyp = 3
/
ATOMIC_SPECIES
Pt 195.08 Pt.upf
Ca 40.08 Ca.upf
K 39.10 K.upf
CELL_PARAMETERS angstrom
5.923 -0.012 0.033
5.170 2.889 0.033
1.294 0.336 5.282
ATOMIC_POSITIONS angstrom
Pt 0.448 0.116 0.101
Pt 8.913 2.312 3.827
Ca 5.931 1.538 3.080
K 3.289 0.853 1.012

=====

Entry 3:
! K4CaPt, relaxed, DFT PBE-GGA; values from VASP
! energy of formation from the pure elements: 502 meV per atom
! DFT total energy: -1.570 eV per atom
&SYSTEM
  ibrav = 0, nat = 6, ntyp = 3
/
ATOMIC_SPECIES
K 39.10 K.upf
Pt 195.08 Pt.upf
Ca 40.08 Ca.upf
CELL_PARAMETERS angstrom
1.525 -5.926 -3.620
-0.849 -6.358 3.068
-5.237 -4.307 -2.138
ATOMIC_POSITIONS angstrom
K -4.286 -8.374 -2.063
K -1.722 -6.265 -1.016
K -0.976 -9.166 -2.788
K -2.138 -9.378 0.486
Pt -3.421 -12.444 -2.018
Ca 0.000 0.000 0.000

=====

Entry 4:
! KCaPt2, relaxed, DFT PBE-GGA; values from VASP
! energy of formation from the pure elements: -247 meV per atom
! DFT total energy: -4.042 eV per atom
&SYSTEM
  ibrav = 0, nat = 4, ntyp = 3
/
ATOMIC_SPECIES
K 39.10 K.upf
Pt 195.08 Pt.upf
Ca 40.08 Ca.upf
CELL_PARAMETERS angstrom
-3.203 4.265 -4.279
-5.670 3.458 1.630
6.219 -1.424 2.461
ATOMIC_POSITIONS angstrom
K -0.884 3.502 -1.623
Pt -0.593 0.516 -0.177
Pt -1.041 2.162 1.653
Ca -4.573 3.980 -1.365

=====

Entry 5:
! KCaPt2, relaxed, DFT PBE-GGA; values from VASP
! energy of formation from the pure elements: -134 meV per atom
! DFT total energy: -3.929 eV per atom
&SYSTEM
  ibrav = 0, nat = 8, ntyp = 3
/
ATOMIC_SPECIES
Pt 195.08 Pt.upf
Ca 40.08 Ca.upf
K 39.10 K.upf
CELL_PARAMETERS angstrom
5.217 0.000 0.000
0.000 5.217 0.000
2.609 2.609 9.497
ATOMIC_POSITIONS angstrom
Pt 4.983 1.304 2.374
Pt 6.522 2.375 7.123
Pt 5.452 3.913 2.374
Pt 3.913 2.843 7.123
Ca 0.000 0.000 0.000
Ca 5.217 2.609 4.748
K 2.609 2.609 0.000
K 2.609 5.217 4.748

=====

Entry 6:
! KCaPtRh2, relaxed, DFT PBE-GGA; values from VASP
! energy of formation from the pure elements: 1351 meV per atom
! offset from the most stable computed form: 947 meV per atom
! DFT total energy: -3.418 eV per atom
&SYSTEM
  ibrav = 0, nat = 5, ntyp = 4
/
ATOMIC_SPECIES
K 39.10 K.upf
Ca 40.08 Ca.upf
Rh 102.91 Rh.upf
Pt 195.08 Pt.upf
CELL_PARAMETERS angstrom
-1.014 3.873 -2.607
1.992 -2.327 -4.231
-4.299 -1.815 -1.025
ATOMIC_POSITIONS angstrom
K 0.000 0.000 0.000
Ca -1.660 -0.134 -3.932
Rh -2.149 -0.908 -0.513
Rh -0.507 1.937 -1.304
Pt 0.996 -1.163 -2.115

=====

Entry 7:
! KCaPtRh2, relaxed, DFT PBE-GGA; values from VASP
! energy of formation from the pure elements: 404 meV per atom
! offset from the most stable computed form: 0 meV per atom
! DFT total energy: -4.365 eV per atom
&SYSTEM
  ibrav = 0, nat = 5, ntyp = 4
/
ATOMIC_SPECIES
Pt 195.08 Pt.upf
K 39.10 K.upf
Rh 102.91 Rh.upf
Ca 40.08 Ca.upf
CELL_PARAMETERS angstrom
-0.908 4.484 2.041
-0.965 -2.295 4.614
4.840 0.424 1.222
ATOMIC_POSITIONS angstrom
Pt 0.000 0.000 0.000
K 1.484 1.306 3.939
Rh 2.420 0.212 0.611
Rh -0.454 2.242 1.020
Ca -0.482 -1.148 2.307

=====

Entry 8:
! KCaSb2Pt, relaxed, DFT PBE-GGA; values from VASP
! raw formation energy: 0.8568 eV/atom
! DFT total energy: -2.620 eV per atom
&SYSTEM
  ibrav = 0, nat = 5, ntyp = 4
/
ATOMIC_SPECIES
Sb 121.76 Sb.upf
Pt 195.08 Pt.upf
Ca 40.08 Ca.upf
K 39.10 K.upf
CELL_PARAMETERS angstrom
5.746 0.000 0.000
0.000 5.746 0.000
0.000 0.000 5.165
ATOMIC_POSITIONS angstrom
Sb 2.873 0.000 0.000
Sb 0.000 2.873 0.000
Pt 0.000 0.000 2.582
Ca 2.873 2.873 2.582
K 0.000 0.000 0.000